Density functional theory data (PBE) for crystalline Cs3Dy2ScTe6 at its relaxed geometry.

a = 7.7849 Å, b = 7.7849 Å, c = 9.2637 Å
α = 98.06°, β = 98.06°, γ = 120.00°
Element x y z (fractional)
Dy1 0.3337 0.6663 0.0000
Te1 0.9381 0.6157 0.8141
Dy2 0.6663 0.3337 0.0000
Cs1 0.1701 0.8299 0.5000
Te2 0.6157 0.9381 0.8141
Te3 0.0619 0.3843 0.1859
Te4 0.3843 0.0619 0.1859
Cs2 0.8299 0.1701 0.5000
Te5 0.7402 0.7402 0.1875
Te6 0.2598 0.2598 0.8125
Sc1 0.0000 0.0000 0.0000
Cs3 0.5000 0.5000 0.5000

Summary:
The value obtained for the density is 5459 kg/m³. As for the uncorrected formation energy: -1.33 eV per atom.

=====

Density functional theory data (PBE) for crystalline CsDy2Se3 at its relaxed geometry.

a = 4.1596 Å, b = 7.7635 Å, c = 11.2124 Å
α = 103.62°, β = 90.00°, γ = 90.00°
Element x y z (fractional)
Cs1 0.7500 0.4716 0.1565
Se1 0.7500 0.8309 0.0260
Se2 0.2500 0.3504 0.3648
Dy1 0.7500 0.9987 0.8149
Dy2 0.2500 0.7603 0.4934
Se3 0.7500 0.6496 0.6352
Dy3 0.7500 0.2397 0.5066
Se4 0.7500 0.8917 0.3481
Dy4 0.2500 0.0013 0.1851
Se5 0.2500 0.1083 0.6519
Se6 0.2500 0.1691 0.9740
Cs2 0.2500 0.5284 0.8435

Summary:
The value obtained for the density is 6557 kg/m³. As for the uncorrected formation energy: -1.59 eV per atom.

=====

Density functional theory data (PBE) for crystalline CsDy2Se3 at its relaxed geometry.

a = 7.6204 Å, b = 7.4958 Å, c = 7.4958 Å
α = 120.01°, β = 90.00°, γ = 90.00°
Element x y z (fractional)
Dy1 0.5000 0.1666 0.8334
Se1 0.7500 0.9993 0.9993
Se2 0.2500 0.0007 0.0007
Cs1 0.7500 0.5008 0.5008
Dy2 0.5000 0.8334 0.1666
Cs2 0.2500 0.4992 0.4992
Se3 0.2500 0.9989 0.5000
Se4 0.7500 0.5000 0.0011
Dy3 0.0000 0.8334 0.1666
Se5 0.7500 0.0011 0.5000
Se6 0.2500 0.5000 0.9989
Dy4 0.0000 0.1666 0.8334

Summary:
The value obtained for the density is 6223 kg/m³. As for the uncorrected formation energy: -1.62 eV per atom.

=====

Density functional theory data (PBE) for crystalline CsDySe4 at its relaxed geometry.

a = 6.3153 Å, b = 6.3153 Å, c = 9.0701 Å
α = 90.00°, β = 90.00°, γ = 90.00°
Element x y z (fractional)
Se1 0.8635 0.3635 0.1891
Se2 0.6365 0.8635 0.1891
Cs1 0.0000 0.0000 0.5000
Dy1 0.0000 0.0000 0.0000
Se3 0.3635 0.1365 0.1891
Dy2 0.5000 0.5000 0.0000
Cs2 0.5000 0.5000 0.5000
Se4 0.6365 0.1365 0.8109
Se5 0.1365 0.6365 0.1891
Se6 0.3635 0.8635 0.8109
Se7 0.1365 0.3635 0.8109
Se8 0.8635 0.6365 0.8109

Summary:
The value obtained for the density is 5612 kg/m³. As for the uncorrected formation energy: -1.17 eV per atom.

=====

Density functional theory data (PBE) for crystalline CsDy5Se8 at its relaxed geometry.

a = 4.1545 Å, b = 10.2035 Å, c = 10.8418 Å
α = 103.98°, β = 101.05°, γ = 90.00°
Element x y z (fractional)
Dy1 0.7037 0.3413 0.4074
Cs1 0.5002 0.4997 0.0003
Se1 0.9179 0.1872 0.8357
Se2 0.4219 0.8502 0.8438
Se3 0.7695 0.8518 0.5390
Dy2 0.6561 0.9561 0.3122
Se4 0.8314 0.5069 0.6628
Se5 0.5781 0.1499 0.1561
Dy3 0.2963 0.6587 0.5927
Se6 0.1687 0.4931 0.3373
Se7 0.0820 0.8129 0.1641
Se8 0.2304 0.1482 0.4609
Dy4 0.0000 0.0001 0.0000
Dy5 0.3438 0.0439 0.6876

Summary:
The value obtained for the density is 5990 kg/m³. As for the uncorrected formation energy: -1.85 eV per atom.

=====

Density functional theory data (PBE) for crystalline Cs2Dy3Se6 at its relaxed geometry.

a = 7.2107 Å, b = 7.2107 Å, c = 8.9630 Å
α = 82.29°, β = 74.43°, γ = 60.00°
Element x y z (fractional)
Dy1 0.6666 0.6667 0.0000
Se1 0.7274 0.0000 0.8163
Se2 0.9383 0.6671 0.1838
Se3 0.2726 0.0000 0.1837
Se4 0.3946 0.6671 0.8162
Dy2 0.0000 0.0000 0.0000
Cs1 0.1667 0.6667 0.5000
Cs2 0.8333 0.3333 0.5000
Se5 0.0617 0.3329 0.8162
Se6 0.6054 0.3329 0.1838
Dy3 0.3334 0.3333 0.0000

Summary:
The value obtained for the density is 5241 kg/m³. As for the uncorrected formation energy: -1.65 eV per atom.